1.
Computed, not measured: ZrTlInI6 after structural relaxation at the PBE-GGA level of DFT.

a b c (Å): 8.2693 8.2693 14.2027
angles (deg): 90.00 90.00 120.00
With the nearest neighbours (Å) after each atom.
Space group P-31c (No. 163)
Symmetry-distinct sites (fractional):
Zr: 0.3333 0.6667 0.2500 [2 per cell]  6 I 2.89
Tl: 0.0000 0.0000 0.0000 [2 per cell]  6 I 3.55
In: 0.3333 0.6667 0.7500 [2 per cell]  6 I 3.38
I: 0.0455 0.3842 0.1325 [12 per cell]  1 Zr 2.89

Output
The calculation puts the volume at 841.09 Å³ per cell. The crystal system is trigonal. For the total magnetic moment, the calculation gives 0.000 μB per formula unit. As for the density: 4627 kg/m3. The calculation puts the total energy at -3.30 eV/atom. The calculation puts the formation energy (no corrections) at -0.754 eV per atom.

---

2.
Computed, not measured: Ta2AgMo after structural relaxation at the PBE-GGA level of DFT.

a b c (Å): 2.8467 2.8467 30.2483
angles (deg): 90.00 90.00 120.00
With the nearest neighbours (Å) after each atom.
Space group R-3m (No. 166, hexagonal axes)
Symmetry-distinct sites (fractional):
Ta: 0.0000 0.0000 0.2504 [6 per cell]  6 Ta 2.85, 3 Mo 3.00, 3 Ag 3.02
Ag: 0.0000 0.0000 0.5000 [3 per cell]  6 Ag 2.85, 6 Ta 3.02
Mo: 0.0000 0.0000 0.0000 [3 per cell]  6 Mo 2.85, 6 Ta 3.00

Output
The calculation puts the volume at 212.29 Å³ per cell. The crystal system is trigonal. The formation energy comes out at 0.342 eV per atom. The excess energy over the best structure of this formula in the dataset is 0.99 eV/f.u. For the total magnetic moment, the calculation gives 0.000 μB per formula unit. The value obtained for the density of states at the Fermi level is 0.7292 states/eV/atom. As for the density: 13275 kg/m3. The calculation puts the total energy at -9.01 eV/atom.

---

3.
Computed, not measured: Pa3Be after structural relaxation at the PBE-GGA level of DFT.

a b c (Å): 4.3954 4.3954 8.7380
angles (deg): 90.00 90.00 90.00
With the nearest neighbours (Å) after each atom.
Space group I4/mmm (No. 139)
Symmetry-distinct sites (fractional):
Pa: 0.0000 0.0000 0.0000 [2 per cell]  8 Pa 3.10, 4 Be 3.11
Pa: 0.0000 0.5000 0.2500 [4 per cell]  8 Pa 3.10-3.11, 4 Be 3.10
Be: 0.0000 0.0000 0.5000 [2 per cell]  12 Pa 3.10-3.11

Output
The calculation puts the volume at 168.82 Å³ per cell. The crystal system is tetragonal. The formation energy comes out at 0.171 eV per atom. The excess energy over the best structure of this formula in the dataset is 0.00 eV/f.u. For the total magnetic moment, the calculation gives 0.000 μB per formula unit. The value obtained for the density of states at the Fermi level is 1.7846 states/eV/atom. As for the density: 13812 kg/m3. The calculation puts the total energy at -7.88 eV/atom.

---

4.
Computed, not measured: SrPmZnSn after structural relaxation at the PBE-GGA level of DFT.

a b c (Å): 7.7292 7.7292 7.7292
angles (deg): 90.00 90.00 90.00
With the nearest neighbours (Å) after each atom.
Space group F-43m (No. 216)
Symmetry-distinct sites (fractional):
Sr: 0.0000 0.0000 0.0000 [4 per cell]  4 Sn 3.35, 4 Zn 3.35
Pm: 0.0000 0.0000 0.5000 [4 per cell]  4 Sn 3.35, 4 Zn 3.35
Zn: 0.2500 0.2500 0.2500 [4 per cell]  4 Pm 3.35, 4 Sr 3.35
Sn: 0.2500 0.2500 0.7500 [4 per cell]  4 Pm 3.35, 4 Sr 3.35

Output
The calculation puts the volume at 461.75 Å³ per cell. The crystal system is cubic. The formation energy comes out at -0.425 eV per atom. For the total magnetic moment, the calculation gives 0.000 μB per formula unit. The value obtained for the density of states at the Fermi level is 0.9190 states/eV/atom. As for the density: 5995 kg/m3. The calculation puts the total energy at -3.35 eV/atom.

---

5.
Computed, not measured: PmPtRh4 after structural relaxation at the PBE-GGA level of DFT.

a b c (Å): 7.4274 7.4274 7.4274
angles (deg): 90.00 90.00 90.00
With the nearest neighbours (Å) after each atom.
Space group F-43m (No. 216)
Symmetry-distinct sites (fractional):
Pm: 0.0000 0.0000 0.0000 [4 per cell]  12 Rh 3.08, 4 Pt 3.22
Pt: 0.2500 0.2500 0.2500 [4 per cell]  12 Rh 3.08, 4 Pm 3.22
Rh: 0.1243 0.1243 0.6243 [16 per cell]  6 Rh 2.61-2.64

Output
The calculation puts the volume at 409.74 Å³ per cell. The crystal system is cubic. The formation energy comes out at -0.233 eV per atom. For the total magnetic moment, the calculation gives 0.004 μB per formula unit. The value obtained for the density of states at the Fermi level is 2.0566 states/eV/atom. As for the density: 12186 kg/m3. The calculation puts the total energy at -6.93 eV/atom.

---

6.
Computed, not measured: YZnFe after structural relaxation at the PBE-GGA level of DFT.

a b c (Å): 3.3381 3.3381 9.9277
angles (deg): 90.00 90.00 90.00
With the nearest neighbours (Å) after each atom.
Space group I4mm (No. 107)
Symmetry-distinct sites (fractional):
Y: 0.0000 0.0000 0.0000 [2 per cell]  5 Zn 2.93-3.12, 5 Fe 3.00-3.11
Zn: 0.0000 0.0000 0.2949 [2 per cell]  4 Fe 2.59
Fe: 0.0000 0.0000 0.6863 [2 per cell]  4 Zn 2.59

Output
The calculation puts the volume at 110.63 Å³ per cell. The crystal system is tetragonal. The formation energy comes out at 0.008 eV per atom. For the total magnetic moment, the calculation gives 1.805 μB per formula unit. The value obtained for the density of states at the Fermi level is 0.8061 states/eV/atom. As for the density: 6309 kg/m3. The calculation puts the total energy at -5.39 eV/atom.

---

7.
Computed, not measured: CuAsI3 after structural relaxation at the PBE-GGA level of DFT.

a b c (Å): 5.3236 5.3236 5.3236
angles (deg): 90.00 90.00 90.00
With the nearest neighbours (Å) after each atom.
Space group Pm-3m (No. 221)
Symmetry-distinct sites (fractional):
Cu: 0.0000 0.0000 0.0000 [1 per cell]  6 I 2.66
As: 0.5000 0.5000 0.5000 [1 per cell]  12 I 3.76
I: 0.0000 0.0000 0.5000 [3 per cell]  2 Cu 2.66

Output
The calculation puts the volume at 150.87 Å³ per cell. The crystal system is cubic. The excess energy over the best structure of this formula in the dataset is 2.77 eV/f.u. For the total magnetic moment, the calculation gives 0.000 μB per formula unit. The value obtained for the density of states at the Fermi level is 0.5049 states/eV/atom. As for the density: 5714 kg/m3. The calculation puts the total energy at -2.17 eV/atom. The calculation puts the formation energy (no corrections) at 0.514 eV per atom.

---

8.
Computed, not measured: Pm7SbI12 after structural relaxation at the PBE-GGA level of DFT.

a b c (Å): 16.2337 16.2337 10.6454
angles (deg): 90.00 90.00 120.00
With the nearest neighbours (Å) after each atom.
Space group R-3 (No. 148, hexagonal axes)
Symmetry-distinct sites (fractional):
Pm: 0.0000 0.0000 0.0000 [3 per cell]  6 I 3.16
Pm: 0.0483 0.8802 0.3425 [18 per cell]  1 Sb 2.96, 5 I 3.17-3.31
Sb: 0.0000 0.0000 0.5000 [3 per cell]  6 Pm 2.96
I: 0.0235 0.4355 0.1659 [18 per cell]  3 Pm 3.17-3.31
I: 0.0521 0.8687 0.8397 [18 per cell]  3 Pm 3.16-3.21

Output
The calculation puts the volume at 2429.57 Å³ per cell. The crystal system is trigonal. For the total magnetic moment, the calculation gives 0.000 μB per formula unit. The value obtained for the density of states at the Fermi level is 0.2860 states/eV/atom. As for the density: 5453 kg/m3. The calculation puts the total energy at -4.09 eV/atom. The calculation puts the formation energy (no corrections) at -1.296 eV per atom.

---

Please write out number 4 again, unchanged.
Computed, not measured: SrPmZnSn after structural relaxation at the PBE-GGA level of DFT.

a b c (Å): 7.7292 7.7292 7.7292
angles (deg): 90.00 90.00 90.00
With the nearest neighbours (Å) after each atom.
Space group F-43m (No. 216)
Symmetry-distinct sites (fractional):
Sr: 0.0000 0.0000 0.0000 [4 per cell]  4 Sn 3.35, 4 Zn 3.35
Pm: 0.0000 0.0000 0.5000 [4 per cell]  4 Sn 3.35, 4 Zn 3.35
Zn: 0.2500 0.2500 0.2500 [4 per cell]  4 Pm 3.35, 4 Sr 3.35
Sn: 0.2500 0.2500 0.7500 [4 per cell]  4 Pm 3.35, 4 Sr 3.35

Output
The calculation puts the volume at 461.75 Å³ per cell. The crystal system is cubic. The formation energy comes out at -0.425 eV per atom. For the total magnetic moment, the calculation gives 0.000 μB per formula unit. The value obtained for the density of states at the Fermi level is 0.9190 states/eV/atom. As for the density: 5995 kg/m3. The calculation puts the total energy at -3.35 eV/atom.